Compound: LiPaInCl6
Source: Alexandria
Functional: PBE
Structure: optimized geometry

The structure in CIF format:
```
data_LiPaInCl6
_chemical_formula_sum 'Li2 Pa2 In2 Cl12'
_cell_length_a 6.855
_cell_length_b 6.855
_cell_length_c 14.116
_cell_angle_alpha 90.00
_cell_angle_beta 90.00
_cell_angle_gamma 120.00
_symmetry_space_group_name_H-M 'P 1'
_symmetry_Int_Tables_number 1
_symmetry_space_group_name_Hall 'P 1'
loop_
_atom_site_label
_atom_site_type_symbol
_atom_site_fract_x
_atom_site_fract_y
_atom_site_fract_z
Li1 Li 0.333 0.667 0.250
Li2 Li 0.667 0.333 0.750
Pa1 Pa 0.333 0.667 0.750
Pa2 Pa 0.667 0.333 0.250
In1 In 0.000 0.000 0.000
In2 In 0.000 0.000 0.500
Cl1 Cl 0.003 0.369 0.144
Cl2 Cl 0.003 0.635 0.356
Cl3 Cl 0.365 0.369 0.356
Cl4 Cl 0.365 0.997 0.144
Cl5 Cl 0.369 0.003 0.644
Cl6 Cl 0.369 0.365 0.856
Cl7 Cl 0.631 0.635 0.144
Cl8 Cl 0.631 0.997 0.356
Cl9 Cl 0.635 0.003 0.856
Cl10 Cl 0.635 0.631 0.644
Cl11 Cl 0.997 0.365 0.644
Cl12 Cl 0.997 0.631 0.856
```

Values from the calculation:
E_form (uncorrected) ... -1.66 eV per atom
E_tot ... -4.460 eV per atom